DFT (PBE) results for crystalline PmTh2Rh at its relaxed geometry.

Energy of formation from the pure elements: -0.091 eV/atom
Offset from the most stable computed form: 365 meV per atom

Unit cell a=3.7880 b=3.7880 c=30.9786 alpha=90.00 beta=90.00 gamma=120.00
Space group R-3m (No. 166, hexagonal axes)
One atom of each set of equivalent atoms:
Pm1 0.0000 0.0000 0.0000
Th1 0.0000 0.0000 0.1088
Rh1 0.0000 0.0000 0.5000